# 1
Entry from Alexandria: a relaxed CoRuAu2Br crystal (GGA-PBE).

Cell: 4.9717 4.9717 4.5651 Å, 90.00 90.00 90.00°
Space group P4/mmm (No. 123)
Asymmetric unit:
Co (0.0000, 0.0000, 0.0000) [1 per cell]
Ru (0.5000, 0.5000, 0.0000) [1 per cell]
Au (0.0000, 0.5000, 0.5000) [2 per cell]
Br (0.5000, 0.5000, 0.5000) [1 per cell]

**Raw formation energy**: 39.53 kcal/mol of atoms
**DFT total energy**: -3.208 eV/atom



# 2
Entry from Alexandria: a relaxed CoAuSBr2 crystal (GGA-PBE).

Cell: 5.1263 5.1263 5.1581 Å, 90.00 90.00 90.00°
Space group P4/mmm (No. 123)
Asymmetric unit:
Co (0.0000, 0.0000, 0.0000) [1 per cell]
Au (0.0000, 0.0000, 0.5000) [1 per cell]
S (0.5000, 0.5000, 0.0000) [1 per cell]
Br (0.0000, 0.5000, 0.5000) [2 per cell]

**Raw formation energy**: 25.34 kcal/mol of atoms
**DFT total energy**: -2.472 eV/atom